{"formula": "Ag5Br8", "functional": "PBE-GGA", "state": "relaxed", "lattice": [[-4.8022, 7.2205, -0.6194], [0.8511, -6.2601, -5.9722], [-2.6087, -4.5123, 5.4562]], "species": ["Br", "Br", "Br", "Br", "Br", "Br", "Br", "Br", "Ag", "Ag", "Ag", "Ag", "Ag"], "frac_coords": [[0.7992, 0.4547, 0.2539], [0.2922, 0.4380, 0.2399], [0.8018, 0.9476, 0.2399], [0.6956, 0.0367, 0.7323], [0.2008, 0.5453, 0.7461], [0.7078, 0.5620, 0.7601], [0.1982, 0.0524, 0.7601], [0.3044, 0.9633, 0.2677], [0.7476, 0.7210, 0.4685], [0.2457, 0.7457, 0.5000], [0.7543, 0.2543, 0.5000], [0.0000, 0.0000, 0.0000], [0.2524, 0.2790, 0.5315]], "volume_a3_per_atom": 29.61, "final_energy_ha_per_atom": -0.087, "e_form_raw_ev_per_atom": -0.243, "sg": "No. 12"}


{"formula": "AgBr4", "functional": "PBE-GGA", "state": "relaxed", "lattice": [[9.2198, -0.9892, 0.3113], [-5.4638, 7.4921, 0.3113], [-0.1540, -0.2667, 6.8065]], "species": ["Br", "Br", "Br", "Br", "Br", "Br", "Br", "Br", "Ag", "Ag"], "frac_coords": [[0.3401, 0.3401, 0.5912], [0.6599, 0.6599, 0.4088], [0.1611, 0.1611, 0.9056], [0.0072, 0.5095, 0.7382], [0.9928, 0.4905, 0.2618], [0.8389, 0.8389, 0.0944], [0.5095, 0.0072, 0.7382], [0.4905, 0.9928, 0.2618], [0.7513, 0.2487, 0.0000], [0.2487, 0.7513, 0.0000]], "volume_a3_per_atom": 43.50, "polymorph_energy_ev_per_fu": 0.03, "final_energy_ha_per_atom": -0.074, "e_form_raw_ev_per_atom": -0.101, "sg": "No. 12"}


{"formula": "AgBr5", "functional": "PBE-GGA", "state": "relaxed", "lattice": [[-1.0885, -5.6900, 0.0759], [7.0704, -0.0158, -2.0576], [3.3142, -0.4820, 11.3922]], "species": ["Br", "Br", "Br", "Br", "Br", "Br", "Br", "Br", "Br", "Br", "Ag", "Ag"], "frac_coords": [[0.8650, 0.2624, 0.2500], [0.2452, 0.8413, 0.1521], [0.6098, 0.4323, 0.4243], [0.7548, 0.1587, 0.8479], [0.7548, 0.1587, 0.6521], [0.3902, 0.5677, 0.5757], [0.6098, 0.4323, 0.0757], [0.1350, 0.7376, 0.7500], [0.2452, 0.8413, 0.3479], [0.3902, 0.5677, 0.9243], [0.6973, 0.5952, 0.7500], [0.3027, 0.4048, 0.2500]], "volume_a3_per_atom": 41.51, "polymorph_energy_ev_per_fu": 0.00, "final_energy_ha_per_atom": -0.070, "e_form_raw_ev_per_atom": -0.029, "sg": "No. 11"}